Computed, not measured: a geometry-optimized PaV structure at the PBE level of DFT.

## Properties
Final energy, eV/atom: -8.935

a b c (Å): 3.4326 3.4326 3.4326
angles (deg): 90.00 90.00 90.00
With the nearest neighbours (Å) after each atom.
Fractional positions:
1 Pa 0.0000 0.0000 0.0000  8 V 2.97
2 V 0.5000 0.5000 0.5000  8 Pa 2.97

=====

Computed, not measured: a geometry-optimized Pa4V structure at the PBE level of DFT.

## Properties
Final energy, eV/atom: -8.748

a b c (Å): 5.0678 5.0678 5.0678
angles (deg): 90.00 90.00 90.00
With the nearest neighbours (Å) after each atom.
Fractional positions:
1 Pa 0.0000 0.0000 0.0000  12 Pa 3.58
2 Pa 0.0000 0.5000 0.5000  2 V 2.53
3 Pa 0.5000 0.0000 0.5000  2 V 2.53
4 Pa 0.5000 0.5000 0.0000  2 V 2.53
5 V 0.5000 0.5000 0.5000  6 Pa 2.53

=====

Computed, not measured: a geometry-optimized Pa5V structure at the PBE level of DFT.

## Properties
Final energy, eV/atom: -9.335

a b c (Å): 8.1586 8.1586 3.2137
angles (deg): 90.00 90.00 140.09
With the nearest neighbours (Å) after each atom.
Fractional positions:
1 Pa 0.0000 0.0000 0.0000  6 Pa 3.10-3.21, 4 V 3.21
2 Pa 0.1727 0.8273 0.5000  10 Pa 3.10-3.23
3 Pa 0.3505 0.6494 0.0000  2 V 2.80
4 Pa 0.6494 0.3505 0.0000  2 V 2.80
5 Pa 0.8273 0.1727 0.5000  10 Pa 3.10-3.23
6 V 0.5000 0.5000 0.5000  4 Pa 2.80

=====

Computed, not measured: a geometry-optimized PaVW2 structure at the PBE level of DFT.

## Properties
Final energy, eV/atom: -10.683

a b c (Å): 9.4697 9.4697 9.4697
angles (deg): 18.09 18.09 18.09
With the nearest neighbours (Å) after each atom.
Fractional positions:
1 Pa 0.0000 0.0000 0.0000  6 Pa 2.98, 6 W 3.19
2 V 0.5000 0.5000 0.5000  6 W 2.62
3 W 0.2373 0.2373 0.2373  3 V 2.62
4 W 0.7627 0.7627 0.7627  3 V 2.62

=====

> Look up the final energy of the second one.

-8.748 eV/atom